## Rb2FePdPb (PBE)

Data for a relaxed Rb2FePdPb crystal.

Structure (extended XYZ):
```
5
Lattice="6.308 0.000 0.000 0.000 5.091 0.000 0.000 0.000 6.308" Properties=species:S:1:pos:R:3 pbc="T T T"
Rb 0.000 0.000 3.154
Rb 3.154 0.000 0.000
Fe 0.000 0.000 0.000
Pb 0.000 2.546 0.000
Pd 3.154 2.546 3.154
```

- E_tot: -3.03 eV/atom
- ΔE_f: 80 kJ per mole of atoms
- Spin magnetization: 2.523 μB/cell